Here is crystalline MnPNCl2 at its relaxed geometry from the Alexandria database. Energies are from GGA-PBE.

a b c (Å): 4.3333 4.3333 4.6316
angles (deg): 90.00 90.00 90.00
Atoms (fractional coordinates):
P: 0.0000 0.0000 0.5000
N: 0.5000 0.5000 0.5000
Mn: 0.0000 0.0000 0.0000
Cl: 0.0000 0.5000 0.0000
Cl: 0.5000 0.0000 0.0000

As for the energy: -3.932 eV per atom. The value obtained for the energy above the lowest structure with this stoichiometry is 15.43 kcal/mol of atoms. The total magnetic moment is 0.00 μB per formula unit. Its symmetry is P4/mmm. The calculation puts the energy relative to the elements, uncorrected at 1.39 eV per atom.

***

Here is crystalline K2Nb2Ag at its relaxed geometry from the Alexandria database. Energies are from GGA-PBE.

a b c (Å): 3.6934 3.6934 11.8365
angles (deg): 81.02 81.02 90.00
Atoms (fractional coordinates):
Nb: 0.7500 0.2500 0.5000
Nb: 0.2500 0.7500 0.5000
K: 0.3986 0.3986 0.2027
K: 0.6014 0.6014 0.7973
Ag: 0.0000 0.0000 0.0000

As for the energy: -4.347 eV per atom. The formation energy comes out at 0.69 eV/atom. The value obtained for the energy above the lowest structure with this stoichiometry is 0.00 kcal/mol of atoms. The total magnetic moment is 0.00 μB per formula unit. Its symmetry is I4/mmm.

***

Here is crystalline VHPt at its relaxed geometry from the Alexandria database. Energies are from GGA-PBE.

a b c (Å): 2.7459 2.7458 4.0839
angles (deg): 90.00 90.00 90.00
Each line ends with the local moment (μB).
Atoms (fractional coordinates):
V: 0.0530 0.6222 0.5555  0.54
H: 0.5529 0.1221 0.5106  0.00
Pt: 0.5532 0.1223 0.0446  0.04

As for the energy: -6.454 eV per atom. The value obtained for the energy above the lowest structure with this stoichiometry is 1.11 kcal/mol of atoms. The total magnetic moment is 0.63 μB per formula unit. Its symmetry is P4mm.

***

Here is crystalline CrRuN2 at its relaxed geometry from the Alexandria database. Energies are from GGA-PBE.

a b c (Å): 3.6800 3.6800 3.6800
angles (deg): 60.00 60.00 60.00
Atoms (fractional coordinates):
Ru: 0.5000 0.5000 0.5000
N: 0.2500 0.2500 0.2500
N: 0.7500 0.7500 0.7500
Cr: 0.0000 0.0000 0.0000

As for the energy: -8.176 eV per atom. The value obtained for the energy above the lowest structure with this stoichiometry is 18.69 kcal/mol of atoms. The total magnetic moment is 0.00 μB per formula unit. Its symmetry is Fm-3m. The calculation puts the energy relative to the elements, uncorrected at 0.71 eV per atom.

***

Here is crystalline AlGaSN2 at its relaxed geometry from the Alexandria database. Energies are from GGA-PBE.

a b c (Å): 3.6824 3.6824 5.7750
angles (deg): 90.00 90.00 90.00
Each line ends with the local moment (μB).
Atoms (fractional coordinates):
S: 0.0000 0.0000 0.5000  0.02
Al: 0.5000 0.5000 0.5000  -0.01
Ga: 0.0000 0.0000 0.0000  0.03
N: 0.0000 0.5000 0.0000  0.21
N: 0.5000 0.0000 0.0000  0.21

As for the energy: -4.497 eV per atom. The value obtained for the energy above the lowest structure with this stoichiometry is 10.93 kcal/mol of atoms. The total magnetic moment is 0.59 μB per formula unit. Its symmetry is P4/mmm. The calculation puts the energy relative to the elements, uncorrected at 1.01 eV per atom.

***

Here is crystalline Ac3DyGe6 at its relaxed geometry from the Alexandria database. Energies are from GGA-PBE.

a b c (Å): 8.2022 8.2022 8.2022
angles (deg): 98.30 98.30 98.30
Atoms (fractional coordinates):
Ac: 0.1840 0.7500 0.3160
Ac: 0.3160 0.1840 0.7500
Ac: 0.2500 0.6840 0.8160
Ac: 0.7500 0.3160 0.1840
Ac: 0.6840 0.8160 0.2500
Ac: 0.8160 0.2500 0.6840
Dy: 0.0000 0.0000 0.0000
Dy: 0.5000 0.5000 0.5000
Ge: 0.9090 0.6212 0.9829
Ge: 0.0171 0.0910 0.3788
Ge: 0.1212 0.4090 0.4829
Ge: 0.3788 0.0171 0.0910
Ge: 0.4090 0.4829 0.1212
Ge: 0.5171 0.8788 0.5910
Ge: 0.4829 0.1212 0.4090
Ge: 0.5910 0.5171 0.8788
Ge: 0.6212 0.9829 0.9090
Ge: 0.8788 0.5910 0.5171
Ge: 0.9829 0.9090 0.6212
Ge: 0.0910 0.3788 0.0171

As for the energy: -5.083 eV per atom. The formation energy comes out at -0.62 eV/atom. The total magnetic moment is 0.00 μB per formula unit. Its symmetry is R-3c.